PBE-GGA LaFeCl2, relaxed; magnetic moment = 3.0 Bohr magnetons per cell; calculated volume = 88.7 Å³/cell; mass density = 4.97 g/cm³; formation energy from raw total energies = -0.6898 eV per atom; space-group type = No. 225
1.0
0.000 3.540 3.540
3.540 0.000 3.540
3.540 3.540 0.000
La Fe Cl
1 1 2
direct
0.000 0.000 0.000 La
0.500 0.500 0.500 Fe
0.250 0.250 0.250 Cl
0.750 0.750 0.750 Cl